Here is a geometry-optimized PrHo12In3 structure from Alexandria. Energies are from PBE.

The value obtained for the volume is 29.07 A^3/atom. Its size of the total moment is 0.0 μB/cell. Its formation energy is -183.6 meV per atom.

It has space group P4/mmm (No. 123), with a = 4.8486 Å, b = 4.8486 Å, c = 19.7824 Å, α = 90.00°, β = 90.00° and γ = 90.00°. The inequivalent atoms are Pr at (0.0000, 0.0000, 0.0000), Ho at (0.0000, 0.5000, 0.1329), Ho at (0.0000, 0.5000, 0.3778), Ho at (0.5000, 0.5000, 0.0000), Ho at (0.5000, 0.5000, 0.2567), Ho at (0.5000, 0.5000, 0.5000), In at (0.0000, 0.0000, 0.2571) and In at (0.0000, 0.0000, 0.5000).

***

Here is a geometry-optimized PrHo6In3 structure from Alexandria. Energies are from PBE.

The value obtained for the volume is 29.92 A^3/atom. Its size of the total moment is 0.0 μB/cell. Its formation energy is -188.7 meV per atom.

It has space group Cmc2_1 (No. 36), with a = 12.4674 Å, b = 14.1482 Å, c = 6.7840 Å, α = 90.00°, β = 90.00° and γ = 90.00°. The inequivalent atoms are Pr at (0.0000, 0.2063, 0.0000), Ho at (0.0000, 0.1930, 0.4830), Ho at (0.0000, 0.4226, 0.7600), Ho at (0.2216, 0.0271, 0.4981), Ho at (0.2295, 0.2846, 0.6715), In at (0.0000, 0.0016, 0.7399) and In at (0.1160, 0.3801, 0.2909).

***

Here is a geometry-optimized Pr7Ho3In structure from Alexandria. Energies are from PBE.

The value obtained for the volume is 34.83 A^3/atom. Its size of the total moment is 0.0 μB/cell. Its formation energy is 100.5 meV per atom.

It has space group P3m1 (No. 156), with a = 7.1494 Å, b = 7.1494 Å, c = 8.6549 Å, α = 90.00°, β = 90.00° and γ = 120.00°. The inequivalent atoms are Pr at (0.0000, 0.0000, 0.0000), Pr at (0.1648, 0.3297, 0.3428), Pr at (0.5024, 0.0048, 0.0061), Ho at (0.3337, 0.1668, 0.6702) and In at (0.6667, 0.3333, 0.3527).

***

Here is a geometry-optimized Pr5Ho2In structure from Alexandria. Energies are from PBE.

The value obtained for the volume is 32.75 A^3/atom. Its size of the total moment is 0.0 μB/cell. Its formation energy is -113.4 meV per atom.

It has space group I4/mmm (No. 139), with a = 5.0404 Å, b = 5.0404 Å, c = 20.6240 Å, α = 90.00°, β = 90.00° and γ = 90.00°. The inequivalent atoms are Pr at (0.0000, 0.0000, 0.0000), Pr at (0.0000, 0.5000, 0.1235), Ho at (0.0000, 0.0000, 0.2489) and In at (0.0000, 0.0000, 0.5000).

***

Here is a geometry-optimized Pr5Ho4In structure from Alexandria. Energies are from PBE.

The value obtained for the volume is 34.30 A^3/atom. Its size of the total moment is 0.0 μB/cell. Its formation energy is 154.3 meV per atom.

It has space group I4mm (No. 107), with a = 10.6802 Å, b = 10.6802 Å, c = 6.0149 Å, α = 90.00°, β = 90.00° and γ = 90.00°. The inequivalent atoms are Pr at (0.0000, 0.0000, 0.0000), Pr at (0.1885, 0.1885, 0.2795), Ho at (0.0000, 0.3201, 0.7874) and In at (0.0000, 0.0000, 0.5204).

***

Here is a geometry-optimized PrHo5In6 structure from Alexandria. Energies are from PBE.

The value obtained for the volume is 26.82 A^3/atom. Its size of the total moment is 0.0 μB/cell. Its formation energy is -459.0 meV per atom.

It has space group Cmmm (No. 65), with a = 5.3380 Å, b = 16.0265 Å, c = 7.5233 Å, α = 90.00°, β = 90.00° and γ = 90.00°. The inequivalent atoms are Pr at (0.0000, 0.0000, 0.0000), Ho at (0.0000, 0.0000, 0.5000), Ho at (0.0000, 0.3325, 0.0000), Ho at (0.0000, 0.3367, 0.5000), In at (0.0000, 0.1701, 0.2558) and In at (0.0000, 0.5000, 0.2548).